1.
Material: ScInP4
Method: DFT, GGA-PBE
State: relaxed

Geometry as POSCAR:
```
ScInP4
1.0
-1.303 -3.915 3.280
-3.678 -3.504 -1.407
1.381 -4.959 -1.135
Sc In P
1 1 4
direct
0.750 0.750 0.750
0.000 0.000 0.000
0.873 0.376 0.376
0.376 0.376 0.873
0.376 0.873 0.376
0.376 0.376 0.376
```

DOS at the Fermi energy = 4.83 states/eV/f.u.
Space-group type = No. 216
Mass density = 4.549 g/cm³
E = -29.76 eV for the cell shown


2.
Material: Sc4InP
Method: DFT, GGA-PBE
State: relaxed

Geometry as POSCAR:
```
Sc4InP
1.0
0.000 4.063 4.063
4.063 0.000 4.063
4.063 4.063 0.000
Sc In P
4 1 1
direct
0.874 0.375 0.375
0.375 0.375 0.874
0.375 0.874 0.375
0.375 0.375 0.375
0.750 0.750 0.750
0.000 0.000 0.000
```

DOS at the Fermi energy = 6.79 states/eV/f.u.
Space-group type = No. 216
Mass density = 4.032 g/cm³
Polymorph energy (0 for the lowest one) = 726.8 meV/atom
E = -32.45 eV for the cell shown


3.
Material: Sc2InP
Method: DFT, GGA-PBE
State: relaxed

Geometry as POSCAR:
```
Sc2InP
1.0
3.046 -3.794 0.000
3.046 3.794 0.000
0.000 0.000 3.487
Sc In P
2 1 1
direct
0.000 0.500 0.000
0.500 0.000 0.000
0.500 0.500 0.500
0.000 0.000 0.500
```

DOS at the Fermi energy = 2.76 states/eV/f.u.
Space-group type = No. 65
Mass density = 4.856 g/cm³
Polymorph energy (0 for the lowest one) = 413.0 meV/atom
E = -22.87 eV for the cell shown


4.
Material: Sc2InP
Method: DFT, GGA-PBE
State: relaxed

Geometry as POSCAR:
```
Sc2InP
1.0
1.907 0.000 9.918
-0.954 1.652 9.918
-0.954 -1.652 9.918
Sc P In
2 1 1
direct
0.915 0.915 0.915
0.085 0.085 0.085
0.000 0.000 0.000
0.500 0.500 0.500
```

DOS at the Fermi energy = 3.21 states/eV/f.u.
Space-group type = No. 166
Mass density = 4.177 g/cm³
Polymorph energy (0 for the lowest one) = 911.6 meV/atom
E = -20.88 eV for the cell shown


5.
Material: Sc2InP
Method: DFT, GGA-PBE
State: relaxed

Geometry as POSCAR:
```
Sc2InP
1.0
3.625 0.000 0.000
1.813 3.140 0.000
1.813 1.047 7.802
Sc In P
2 1 1
direct
0.063 0.063 0.810
0.270 0.270 0.191
0.500 0.500 0.501
0.667 0.667 0.998
```

DOS at the Fermi energy = 3.33 states/eV/f.u.
Space-group type = No. 160
Mass density = 4.408 g/cm³
Polymorph energy (0 for the lowest one) = 38.5 meV/atom
E = -24.37 eV for the cell shown


6.
Material: Sc2InP
Method: DFT, GGA-PBE
State: relaxed

Geometry as POSCAR:
```
Sc2InP
1.0
-0.450 -3.362 3.542
-3.228 -3.660 -0.488
1.582 -4.581 -0.752
Sc In P
2 1 1
direct
0.000 0.000 0.000
0.750 0.750 0.750
0.500 0.500 0.500
0.250 0.250 0.250
```

DOS at the Fermi energy = 4.98 states/eV/f.u.
Space-group type = No. 216
Mass density = 4.693 g/cm³
Polymorph energy (0 for the lowest one) = 972.3 meV/atom
E = -20.64 eV for the cell shown


7.
Material: Sc2InP
Method: DFT, GGA-PBE
State: relaxed

Geometry as POSCAR:
```
Sc2InP
1.0
2.914 2.050 3.302
-1.850 3.001 3.342
-0.239 -1.392 4.648
Sc P In
2 1 1
direct
0.250 0.250 0.250
0.750 0.750 0.750
0.000 0.000 0.000
0.500 0.500 0.500
```

DOS at the Fermi energy = 6.15 states/eV/f.u.
Space-group type = No. 225
Mass density = 4.828 g/cm³
Polymorph energy (0 for the lowest one) = 506.7 meV/atom
E = -22.50 eV for the cell shown


8.
Material: ScIn2P2
Method: DFT, GGA-PBE
State: relaxed

Geometry as POSCAR:
```
ScIn2P2
1.0
7.163 0.000 0.000
0.000 7.163 0.000
0.000 0.000 3.987
Sc P In
2 4 4
direct
0.000 0.000 0.000
0.500 0.500 0.000
0.336 0.836 0.000
0.836 0.664 0.000
0.664 0.164 0.000
0.164 0.336 0.000
0.154 0.654 0.500
0.654 0.846 0.500
0.846 0.346 0.500
0.346 0.154 0.500
```

DOS at the Fermi energy = 1.57 states/eV/f.u.
Space-group type = No. 127
Mass density = 5.464 g/cm³
E = -48.21 eV for the cell shown


9.
Material: Sc2InP
Method: DFT, GGA-PBE
State: relaxed

Geometry as POSCAR:
```
Sc2InP
1.0
1.571 2.162 1.843
-2.427 -0.874 1.970
4.512 -5.816 2.977
Sc In P
2 1 1
direct
0.000 0.000 0.204
0.000 0.000 0.796
0.500 0.500 0.500
0.500 0.500 0.000
```

DOS at the Fermi energy = 2.94 states/eV/f.u.
Space-group type = No. 65
Mass density = 4.771 g/cm³
Polymorph energy (0 for the lowest one) = 210.7 meV/atom
E = -23.68 eV for the cell shown


10.
Material: Sc2InP
Method: DFT, GGA-PBE
State: relaxed

Geometry as POSCAR:
```
Sc2InP
1.0
3.657 0.000 0.000
0.000 3.657 0.000
0.000 0.000 7.276
Sc In P
2 1 1
direct
0.000 0.000 0.889
0.500 0.500 0.251
0.000 0.000 0.458
0.500 0.500 0.901
```

DOS at the Fermi energy = 1.18 states/eV/f.u.
Space-group type = No. 99
Mass density = 4.023 g/cm³
Polymorph energy (0 for the lowest one) = 337.3 meV/atom
E = -23.18 eV for the cell shown


11.
Material: Sc2InP
Method: DFT, GGA-PBE
State: relaxed

Geometry as POSCAR:
```
Sc2InP
1.0
-2.008 2.008 4.984
2.008 -2.008 4.984
2.008 2.008 -4.984
Sc In P
2 1 1
direct
0.000 0.000 0.000
0.250 0.750 0.500
0.500 0.500 0.000
0.750 0.250 0.500
```

DOS at the Fermi energy = 2.39 states/eV/f.u.
Space-group type = No. 119
Mass density = 4.869 g/cm³
Polymorph energy (0 for the lowest one) = 335.4 meV/atom
E = -23.19 eV for the cell shown


12.
Material: Sc4InP
Method: DFT, GGA-PBE
State: relaxed

Geometry as POSCAR:
```
Sc4InP
1.0
-0.468 5.129 -2.661
-6.527 -0.312 0.545
2.602 0.876 7.547
Sc In P
8 2 2
direct
0.506 0.055 0.824
0.681 0.445 0.176
0.494 0.945 0.176
0.319 0.555 0.824
0.920 0.867 0.645
0.275 0.633 0.355
0.080 0.133 0.355
0.725 0.367 0.645
0.899 0.750 0.000
0.101 0.250 0.000
0.500 0.000 0.500
0.000 0.500 0.500
```

DOS at the Fermi energy = 6.85 states/eV/f.u.
Space-group type = No. 15
Mass density = 3.942 g/cm³
Polymorph energy (0 for the lowest one) = 0.0 meV/atom
E = -73.62 eV for the cell shown